# 1
Mg2TaH2 | PBE | optimized geometry

It has space group P4/mbm (No. 127), with a = 5.763 Å, b = 5.763 Å, c = 4.062 Å, α = 90.00°, β = 90.00° and γ = 90.00°. Symmetry generates all atoms from Mg at (0.185, 0.315, 0.000), Ta at (0.000, 0.000, 0.500) and H at (0.245, 0.255, 0.500).

As for the crystal system: tetragonal. The energy relative to the lowest polymorph listed for this composition comes out at 0 meV/atom.


# 2
SrCdCuGe2 | PBE | optimized geometry

It has space group I-4m2 (No. 119), with a = 4.424 Å, b = 4.424 Å, c = 11.080 Å, α = 90.00°, β = 90.00° and γ = 90.00°. Symmetry generates all atoms from Sr at (0.000, 0.000, 0.000), Cd at (0.000, 0.500, 0.250), Cu at (0.000, 0.500, 0.750) and Ge at (0.000, 0.000, 0.385).

The value obtained for the formation energy is -0.306 eV per atom. As for the crystal system: tetragonal.


# 3
CeAl3GaPd | PBE | optimized geometry

It has space group Cmcm (No. 63), with a = 5.809 Å, b = 14.224 Å, c = 5.630 Å, α = 90.00°, β = 90.00° and γ = 90.00°. Symmetry generates all atoms from Ce at (0.000, 0.196, 0.250), Al at (0.000, 0.370, 0.750), Al at (0.225, 0.000, 0.000), Ga at (0.000, 0.146, 0.750) and Pd at (0.000, 0.397, 0.250).

The value obtained for the formation energy is -0.382 eV per atom. As for the crystal system: orthorhombic.